(1)
Compound: Ni12Sn3W
Source: the Alexandria database
Functional: PBE
Structure: optimized geometry

The structure belongs to space group P4/mmm (No. 123); the cell edges are 3.7149, 3.7149 and 14.7997 Å and the angles 90.00°, 90.00° and 90.00°. The asymmetric unit holds Ni at (0.0000, 0.0000, 0.0000), Ni at (0.0000, 0.0000, 0.2439), Ni at (0.0000, 0.0000, 0.5000), Ni at (0.0000, 0.5000, 0.1162), Ni at (0.0000, 0.5000, 0.3730), Sn at (0.5000, 0.5000, 0.2489), Sn at (0.5000, 0.5000, 0.5000) and W at (0.5000, 0.5000, 0.0000).



(2)
Compound: NiSnW3
Source: the Alexandria database
Functional: PBE
Structure: optimized geometry

The structure belongs to space group Pm-3m (No. 221); the cell edges are 4.8546, 4.8546 and 4.8546 Å and the angles 90.00°, 90.00° and 90.00°. The asymmetric unit holds Ni at (0.0000, 0.0000, 0.0000), Sn at (0.5000, 0.5000, 0.5000) and W at (0.0000, 0.5000, 0.5000).

The offset from the most stable computed form is 1.634 eV per atom.



(3)
Compound: Ni2SnW
Source: the Alexandria database
Functional: PBE
Structure: optimized geometry

The structure belongs to space group I-42d (No. 122); the cell edges are 6.8480, 6.8480 and 5.4426 Å and the angles 90.00°, 90.00° and 90.00°. The asymmetric unit holds Ni at (0.2377, 0.7500, 0.1250), Sn at (0.0000, 0.0000, 0.5000) and W at (0.0000, 0.0000, 0.0000).



(4)
Compound: NiSnW
Source: the Alexandria database
Functional: PBE
Structure: optimized geometry

The structure belongs to space group Amm2 (No. 38); the cell edges are 12.6738, 2.9360 and 5.3005 Å and the angles 90.00°, 90.00° and 90.00°. The asymmetric unit holds Ni at (0.0000, 0.0000, 0.0000), Ni at (0.5000, 0.0000, 0.3255), Sn at (0.3399, 0.0000, 0.9929) and W at (0.1542, 0.0000, 0.3213).



(5)
Compound: ZnNi2SnW
Source: the Alexandria database
Functional: PBE
Structure: optimized geometry

The structure belongs to space group P4/mmm (No. 123); the cell edges are 4.2731, 4.2731 and 4.7763 Å and the angles 90.00°, 90.00° and 90.00°. The asymmetric unit holds Zn at (0.0000, 0.0000, 0.0000), Ni at (0.0000, 0.5000, 0.0000), Sn at (0.0000, 0.0000, 0.5000) and W at (0.5000, 0.5000, 0.5000).



(6)
Compound: YNiSn
Source: the Alexandria database
Functional: PBE
Structure: optimized geometry

The structure belongs to space group P-6m2 (No. 187); the cell edges are 4.4922, 4.4922 and 3.6210 Å and the angles 90.00°, 90.00° and 120.00°. The asymmetric unit holds Y at (0.0000, 0.0000, 0.0000), Ni at (0.6667, 0.3333, 0.5000) and Sn at (0.3333, 0.6667, 0.5000).



(7)
Compound: YNi9Sn2
Source: the Alexandria database
Functional: PBE
Structure: optimized geometry

The structure belongs to space group R-3m (No. 166, hexagonal axes); the cell edges are 4.9374, 4.9374 and 23.6185 Å and the angles 90.00°, 90.00° and 120.00°. The asymmetric unit holds Y at (0.0000, 0.0000, 0.0000), Ni at (0.0000, 0.0000, 0.3338), Ni at (0.0000, 0.0000, 0.5000), Ni at (0.0040, 0.5020, 0.9156) and Sn at (0.0000, 0.0000, 0.1379).

The offset from the most stable computed form is 0.027 eV per atom.



(8)
Compound: YNi12Sn6
Source: the Alexandria database
Functional: PBE
Structure: optimized geometry

The structure belongs to space group R-3m (No. 166, hexagonal axes); the cell edges are 10.9271, 10.9271 and 8.9735 Å and the angles 90.00°, 90.00° and 120.00°. The asymmetric unit holds Y at (0.0000, 0.0000, 0.0000), Ni at (0.0000, 0.3899, 0.5000), Ni at (0.0800, 0.1601, 0.2703) and Sn at (0.0529, 0.5265, 0.2538).



(9)
Compound: YNi5Sn
Source: the Alexandria database
Functional: PBE
Structure: optimized geometry

The structure belongs to space group Pnma (No. 62); the cell edges are 8.0663, 4.8780 and 10.2503 Å and the angles 90.00°, 90.00° and 90.00°. The asymmetric unit holds Y at (0.2489, 0.2500, 0.0600), Ni at (0.0501, 0.2500, 0.6003), Ni at (0.0660, 0.5010, 0.8093), Ni at (0.0848, 0.7500, 0.0174), Ni at (0.1876, 0.7500, 0.2439) and Sn at (0.1410, 0.2500, 0.3607).



(10)
Compound: Y2Ni2Sn
Source: the Alexandria database
Functional: PBE
Structure: optimized geometry

The structure belongs to space group I4/mmm (No. 139); the cell edges are 3.5018, 3.5018 and 17.4878 Å and the angles 90.00°, 90.00° and 90.00°. The asymmetric unit holds Y at (0.0000, 0.0000, 0.1266), Ni at (0.0000, 0.5000, 0.2500) and Sn at (0.0000, 0.0000, 0.5000).



(11)
Compound: Y4NiSn
Source: the Alexandria database
Functional: PBE
Structure: optimized geometry

The structure belongs to space group P2_1/c (No. 14); the cell edges are 7.2409, 7.1352 and 6.8992 Å and the angles 90.00°, 94.07° and 90.00°. The asymmetric unit holds Y at (0.1441, 0.1693, 0.1849), Y at (0.3144, 0.6447, 0.1147), Ni at (0.0000, 0.0000, 0.5000) and Sn at (0.5000, 0.0000, 0.0000).



(12)
Compound: YNiSn2
Source: the Alexandria database
Functional: PBE
Structure: optimized geometry

The structure belongs to space group R-3m (No. 166, hexagonal axes); the cell edges are 3.4283, 3.4283 and 29.4940 Å and the angles 90.00°, 90.00° and 120.00°. The asymmetric unit holds Y at (0.0000, 0.0000, 0.0000), Ni at (0.0000, 0.0000, 0.5000) and Sn at (0.0000, 0.0000, 0.1067).



Here are the calculated energy of formation numbers, same order: -0.150 3.047 0.534 0.425 1.295 -0.614 -0.217 -0.058 -0.369 -0.341 -0.283 0.046 (eV per atom).
Here are the calculated ρ numbers, same order: 10.12 10.58 10.93 12.17 9.24 6.99 8.54 8.08 8.25 6.41 4.98 6.39 (g/cm³).
Here are the calculated M_tot numbers, same order: 0.00 0.56 0.00 0.00 1.39 0.00 2.73 0.00 0.00 0.00 0.00 0.00 (μB/cell).